Compound: LiHoNO
Source: OQMD via LeMat-Bulk
Functional: PBE-GGA
Structure: relaxed

Values from the calculation:
The crystal system is tetragonal.

a = 4.6994 Å, b = 4.6994 Å, c = 4.4161 Å
α = 90.00°, β = 90.00°, γ = 90.00°
Element x y z (fractional)
Ho 0.7500 0.2500 0.0000
Ho 0.2500 0.7500 0.0000
Li 0.7500 0.7500 0.5004
Li 0.2500 0.2500 0.4996
O 0.2500 0.7500 0.5000
O 0.7500 0.2500 0.5000
N 0.2500 0.2500 0.0005
N 0.7500 0.7500 0.9995

---

Compound: LiHoNO
Source: OQMD via LeMat-Bulk
Functional: PBE-GGA
Structure: relaxed

Values from the calculation:
The crystal system is tetragonal.

a = 3.6596 Å, b = 3.6596 Å, c = 7.1336 Å
α = 90.00°, β = 90.00°, γ = 90.00°
Each line ends with the local moment (μB).
Element x y z (fractional)
O 0.0000 0.0000 0.0000  0.05
O 0.5000 0.5000 0.0000  0.05
Li 0.5000 0.5000 0.5000  -0.01
Li 0.0000 0.0000 0.5000  -0.01
Ho 0.0000 0.5000 0.1654  -0.01
Ho 0.5000 0.0000 0.8346  -0.01
N 0.0000 0.5000 0.6329  0.65
N 0.5000 0.0000 0.3671  0.65

---

Compound: LiHoNO
Source: OQMD via LeMat-Bulk
Functional: PBE-GGA
Structure: relaxed

Values from the calculation:
The crystal system is orthorhombic.

a = 4.0118 Å, b = 4.4337 Å, c = 6.1533 Å
α = 90.00°, β = 90.00°, γ = 90.00°
Element x y z (fractional)
Li 0.0000 0.9406 0.6854
Li 0.0000 0.4406 0.3146
N 0.0000 0.4351 0.6382
N 0.0000 0.9351 0.3618
O 0.5000 0.9389 0.8460
O 0.5000 0.4389 0.1540
Ho 0.5000 0.4394 0.7929
Ho 0.5000 0.9394 0.2071

---

Compound: Li4HoNbO6
Source: OQMD via LeMat-Bulk
Functional: PBE-GGA
Structure: relaxed

Values from the calculation:
The crystal system is monoclinic.

a = 5.4153 Å, b = 5.4153 Å, c = 5.2079 Å
α = 99.87°, β = 99.87°, γ = 120.06°
Element x y z (fractional)
Li 0.5009 0.4991 0.0000
Li 0.3401 0.6599 0.5000
Li 0.6480 0.3520 0.5000
Li 0.0175 0.9825 0.5000
O 0.2447 0.2203 0.2420
O 0.3954 0.0659 0.7674
O 0.5491 0.9115 0.2390
O 0.7797 0.7553 0.7580
O 0.9341 0.6046 0.2326
O 0.0885 0.4509 0.7610
Ho 0.8337 0.1663 0.0000
Nb 0.1683 0.8317 0.0000

---

Compound: Li3Nd2HoPb3
Source: OQMD via LeMat-Bulk
Functional: PBE-GGA
Structure: relaxed

Values from the calculation:
The crystal system is hexagonal.

a = 4.8651 Å, b = 4.8651 Å, c = 11.0451 Å
α = 90.00°, β = 90.00°, γ = 120.00°
Element x y z (fractional)
Li 0.6667 0.3333 0.1836
Li 0.3333 0.6667 0.5000
Li 0.6667 0.3333 0.8164
Pb 0.3333 0.6667 0.8384
Pb 0.6667 0.3333 0.5000
Pb 0.3333 0.6667 0.1616
Nd 0.0000 0.0000 0.3317
Nd 0.0000 0.0000 0.6683
Ho 0.0000 0.0000 0.0000

---

Compound: Li3NdHo2Pb3
Source: OQMD via LeMat-Bulk
Functional: PBE-GGA
Structure: relaxed

Values from the calculation:
The crystal system is hexagonal.

a = 4.7388 Å, b = 4.7388 Å, c = 11.2653 Å
α = 90.00°, β = 90.00°, γ = 120.00°
Element x y z (fractional)
Ho 0.0000 0.0000 0.3415
Ho 0.0000 0.0000 0.6585
Li 0.6667 0.3333 0.8051
Li 0.6667 0.3333 0.1949
Li 0.3333 0.6667 0.5000
Pb 0.3333 0.6667 0.8146
Pb 0.6667 0.3333 0.5000
Pb 0.3333 0.6667 0.1854
Nd 0.0000 0.0000 0.0000

---

Compound: LiHoNi4
Source: OQMD via LeMat-Bulk
Functional: PBE-GGA
Structure: relaxed

Values from the calculation:
The crystal system is cubic.

a = 4.8617 Å, b = 4.8617 Å, c = 4.8617 Å
α = 60.00°, β = 60.00°, γ = 60.00°
Element x y z (fractional)
Ni 0.6256 0.1232 0.6256
Ni 0.6256 0.6256 0.1232
Ni 0.6256 0.6256 0.6256
Ni 0.1232 0.6256 0.6256
Li 0.0000 0.0000 0.0000
Ho 0.2500 0.2500 0.2500

---

Compound: LiHoNi
Source: OQMD via LeMat-Bulk
Functional: PBE-GGA
Structure: relaxed

Values from the calculation:
The crystal system is cubic.

a = 4.4702 Å, b = 4.4702 Å, c = 4.4702 Å
α = 60.00°, β = 60.00°, γ = 60.00°
Element x y z (fractional)
Li 0.7500 0.7500 0.7500
Ni 0.2500 0.2500 0.2500
Ho 0.0000 0.0000 0.0000

---

Compound: LiHoNi
Source: OQMD via LeMat-Bulk
Functional: PBE-GGA
Structure: relaxed

Values from the calculation:
The crystal system is cubic.

a = 4.4061 Å, b = 4.4061 Å, c = 4.4061 Å
α = 60.00°, β = 60.00°, γ = 60.00°
Element x y z (fractional)
Li 0.7500 0.7500 0.7500
Ni 0.0000 0.0000 0.0000
Ho 0.2500 0.2500 0.2500

---

Compound: Li2Ho2Ni15
Source: OQMD via LeMat-Bulk
Functional: PBE-GGA
Structure: relaxed

Values from the calculation:
The crystal system is trigonal.

a = 6.2398 Å, b = 6.2398 Å, c = 6.2398 Å
α = 83.14°, β = 83.14°, γ = 83.14°
Each line ends with the local moment (μB).
Element x y z (fractional)
Ho 0.6565 0.6565 0.6565  -0.09
Ho 0.3435 0.3435 0.3435  -0.09
Ni 0.3435 0.8411 0.3435  0.34
Ni 0.3055 0.6945 0.0000  0.33
Ni 0.6565 0.1589 0.6565  0.34
Ni 0.6565 0.6565 0.1589  0.35
Ni 0.0000 0.0000 0.5000  0.38
Ni 0.1589 0.6565 0.6565  0.36
Ni 0.3435 0.3435 0.8411  0.35
Ni 0.5000 0.0000 0.0000  0.38
Ni 0.0000 0.3055 0.6945  0.32
Ni 0.8411 0.3435 0.3435  0.36
Ni 0.6945 0.0000 0.3055  0.33
Ni 0.0000 0.6945 0.3055  0.32
Ni 0.0000 0.5000 0.0000  0.37
Ni 0.3055 0.0000 0.6945  0.33
Ni 0.6945 0.3055 0.0000  0.33
Li 0.9064 0.9064 0.9064  -0.01
Li 0.0936 0.0936 0.0936  -0.01

---

Compound: LiHoNiS3
Source: OQMD via LeMat-Bulk
Functional: PBE-GGA
Structure: relaxed

Values from the calculation:
The crystal system is orthorhombic.

a = 6.2522 Å, b = 6.2522 Å, c = 10.2686 Å
α = 90.00°, β = 90.00°, γ = 34.89°
Each line ends with the local moment (μB).
Element x y z (fractional)
Li 0.2296 0.2296 0.7500  0.00
Li 0.7704 0.7704 0.2500  0.00
S 0.3578 0.3578 0.0896  0.10
S 0.9099 0.9099 0.7500  0.12
S 0.0901 0.0901 0.2500  0.12
S 0.6422 0.6422 0.9104  0.10
S 0.3578 0.3578 0.4104  0.10
S 0.6422 0.6422 0.5896  0.10
Ni 0.5125 0.5125 0.7500  0.79
Ni 0.4875 0.4875 0.2500  0.79
Ho 0.0000 0.0000 0.0000  0.03
Ho 0.0000 0.0000 0.5000  0.03

---

Compound: LiHoNiS3
Source: OQMD via LeMat-Bulk
Functional: PBE-GGA
Structure: relaxed

Values from the calculation:
The crystal system is monoclinic.

a = 7.4242 Å, b = 3.7480 Å, c = 8.9069 Å
α = 90.00°, β = 100.92°, γ = 90.00°
Each line ends with the local moment (μB).
Element x y z (fractional)
Ni 0.4220 0.7500 0.9103  0.71
Ni 0.5780 0.2500 0.0897  0.71
S 0.5618 0.2500 0.3418  0.10
S 0.4382 0.7500 0.6582  0.10
S 0.9230 0.7500 0.6608  0.02
S 0.2885 0.2500 0.9683  0.17
S 0.7115 0.7500 0.0317  0.17
S 0.0770 0.2500 0.3392  0.02
Li 0.6992 0.2500 0.7136  0.00
Li 0.3008 0.7500 0.2864  0.00
Ho 0.1807 0.2500 0.6494  0.02
Ho 0.8193 0.7500 0.3506  0.02

---

Compound: LiHoNiSe3
Source: OQMD via LeMat-Bulk
Functional: PBE-GGA
Structure: relaxed

Values from the calculation:
The crystal system is orthorhombic.

a = 6.7612 Å, b = 6.7612 Å, c = 10.3538 Å
α = 90.00°, β = 90.00°, γ = 32.84°
Element x y z (fractional)
Se 0.3559 0.3559 0.4131
Se 0.6441 0.6441 0.9131
Se 0.9050 0.9050 0.7500
Se 0.3559 0.3559 0.0869
Se 0.0950 0.0950 0.2500
Se 0.6441 0.6441 0.5869
Ho 0.0000 0.0000 0.0000
Ho 0.0000 0.0000 0.5000
Ni 0.4852 0.4852 0.2500
Ni 0.5148 0.5148 0.7500
Li 0.2215 0.2215 0.7500
Li 0.7785 0.7785 0.2500

---

Compound: LiHoNiSe3
Source: OQMD via LeMat-Bulk
Functional: PBE-GGA
Structure: relaxed

Values from the calculation:
The crystal system is monoclinic.

a = 7.8167 Å, b = 3.9065 Å, c = 9.3490 Å
α = 90.00°, β = 102.74°, γ = 90.00°
Each line ends with the local moment (μB).
Element x y z (fractional)
Li 0.6744 0.2500 0.1423  0.00
Li 0.3256 0.7500 0.8577  0.00
Ni 0.4167 0.7500 0.4100  0.66
Ni 0.5833 0.2500 0.5900  0.66
Ho 0.8264 0.7500 0.8446  0.03
Ho 0.1736 0.2500 0.1554  0.03
Se 0.5666 0.2500 0.8454  0.07
Se 0.4334 0.7500 0.1546  0.07
Se 0.2846 0.2500 0.4749  0.15
Se 0.9127 0.7500 0.1588  0.02
Se 0.0873 0.2500 0.8412  0.02
Se 0.7154 0.7500 0.5251  0.15

---

Compound: LiHoNiTe3
Source: OQMD via LeMat-Bulk
Functional: PBE-GGA
Structure: relaxed

Values from the calculation:
The crystal system is orthorhombic.

a = 11.8740 Å, b = 4.1274 Å, c = 12.1835 Å
α = 90.00°, β = 90.00°, γ = 90.00°
Element x y z (fractional)
Ni 0.7732 0.5000 0.2442
Ni 0.2268 0.0000 0.7558
Ni 0.7268 0.5000 0.7442
Ni 0.2732 0.0000 0.2558
Ho 0.1997 0.5000 0.4473
Ho 0.6997 0.0000 0.0527
Ho 0.3003 0.5000 0.9473
Ho 0.8003 0.0000 0.5527
Li 0.4440 0.5000 0.2673
Li 0.9440 0.0000 0.2327
Li 0.5560 0.0000 0.7327
Li 0.0560 0.5000 0.7673
Te 0.8253 0.0000 0.8096
Te 0.6747 0.0000 0.3096
Te 0.8868 0.5000 0.0717
Te 0.1747 0.5000 0.1904
Te 0.1132 0.0000 0.9283
Te 0.5781 0.5000 0.9033
Te 0.3253 0.5000 0.6904
Te 0.6132 0.5000 0.5717
Te 0.4219 0.0000 0.0967
Te 0.9219 0.5000 0.4033
Te 0.3868 0.0000 0.4283
Te 0.0781 0.0000 0.5967

---

Compound: LiHoNiTe3
Source: OQMD via LeMat-Bulk
Functional: PBE-GGA
Structure: relaxed

Values from the calculation:
The crystal system is monoclinic.

a = 8.5621 Å, b = 4.1170 Å, c = 9.8197 Å
α = 90.00°, β = 105.52°, γ = 90.00°
Element x y z (fractional)
Te 0.5629 0.2500 0.3470
Te 0.4371 0.7500 0.6530
Te 0.0807 0.2500 0.3317
Te 0.9193 0.7500 0.6683
Te 0.7080 0.7500 0.0120
Te 0.2920 0.2500 0.9880
Ho 0.1774 0.2500 0.6578
Ho 0.8226 0.7500 0.3422
Ni 0.5956 0.2500 0.0955
Ni 0.4044 0.7500 0.9045
Li 0.6828 0.2500 0.6586
Li 0.3172 0.7500 0.3414

---

Compound: LiHoNiTe3
Source: OQMD via LeMat-Bulk
Functional: PBE-GGA
Structure: relaxed

Values from the calculation:
The crystal system is orthorhombic.

a = 7.5965 Å, b = 7.5965 Å, c = 10.5745 Å
α = 90.00°, β = 90.00°, γ = 30.78°
Element x y z (fractional)
Li 0.2355 0.2355 0.7500
Li 0.7645 0.7645 0.2500
Ni 0.4885 0.4885 0.2500
Ni 0.5115 0.5115 0.7500
Te 0.0986 0.0986 0.2500
Te 0.6412 0.6412 0.5885
Te 0.3588 0.3588 0.4115
Te 0.6412 0.6412 0.9115
Te 0.9014 0.9014 0.7500
Te 0.3588 0.3588 0.0885
Ho 0.0000 0.0000 0.5000
Ho 0.0000 0.0000 0.0000

---

Compound: Li2Ho2O5
Source: OQMD via LeMat-Bulk
Functional: PBE-GGA
Structure: relaxed

Values from the calculation:
The crystal system is tetragonal.

a = 6.8855 Å, b = 3.6502 Å, c = 3.6502 Å
α = 90.00°, β = 90.00°, γ = 90.00°
Each line ends with the local moment (μB).
Element x y z (fractional)
Li 0.7571 0.5000 0.5000  0.02
Li 0.2429 0.5000 0.5000  0.02
Ho 0.0000 0.0000 0.0000  -0.04
Ho 0.5000 0.0000 0.0000  -0.05
O 0.2099 0.5000 0.0000  0.35
O 0.7901 0.5000 0.0000  0.35
O 0.2099 0.0000 0.5000  0.39
O 0.7901 0.0000 0.5000  0.39
O 0.5000 0.5000 0.5000  0.30

---

Compound: Li8Ho4O11
Source: OQMD via LeMat-Bulk
Functional: PBE-GGA
Structure: relaxed

Values from the calculation:
The crystal system is triclinic.

a = 11.3813 Å, b = 5.6591 Å, c = 5.0611 Å
α = 98.51°, β = 100.08°, γ = 121.87°
Each line ends with the local moment (μB).
Element x y z (fractional)
O 0.2945 0.9124 0.2603  0.22
O 0.9602 0.5785 0.2698  0.32
O 0.5339 0.4224 0.7209  0.16
O 0.7792 0.8836 0.2404  0.19
O 0.6201 0.2378 0.2350  0.05
O 0.8806 0.7564 0.7609  0.14
O 0.3737 0.7387 0.7495  0.04
O 0.0436 0.4294 0.7451  0.28
O 0.1210 0.2426 0.2572  0.13
O 0.2274 0.1452 0.8051  0.12
O 0.7096 0.0942 0.7403  0.07
Li 0.2982 0.3344 0.5342  0.00
Li 0.2257 0.4842 0.9640  0.00
Li 0.1818 0.6218 0.4817  0.00
Li 0.7550 0.5037 0.0147  0.00
Li 0.8210 0.3558 0.5083  0.00
Li 0.9895 0.9820 0.4945  0.00
Li 0.5249 0.0907 0.5136  0.00
Li 0.7003 0.6314 0.4958  0.00
Ho 0.5893 0.8399 0.9697  -0.01
Ho 0.9173 0.1647 0.0037  -0.01
Ho 0.0873 0.8430 0.0079  0.00
Ho 0.4137 0.1299 0.9703  -0.01

---

Compound: Li4Ho2O5
Source: OQMD via LeMat-Bulk
Functional: PBE-GGA
Structure: relaxed

Values from the calculation:
The crystal system is orthorhombic.

a = 4.4417 Å, b = 7.0951 Å, c = 4.4522 Å
α = 71.71°, β = 90.00°, γ = 90.00°
Element x y z (fractional)
O 0.5000 0.3319 0.3340
O 0.0000 0.3139 0.8431
O 0.5000 0.6681 0.6660
O 0.0000 0.6861 0.1569
O 0.5000 0.0000 0.0000
Ho 0.5000 0.3166 0.8417
Ho 0.5000 0.6834 0.1583
Li 0.0000 0.6241 0.6879
Li 0.0000 0.0000 0.0000
Li 0.5000 0.0000 0.5000
Li 0.0000 0.3759 0.3121

---

Respective total energy values: -6.492, -6.383, -6.503, -6.853, -3.923, -3.898, -5.142, -3.618, -4.049, -5.318, -5.260, -5.309, -4.831, -4.883, -4.362, -4.404, -4.375, -6.426, -6.180, -6.367 eV per atom.